An optimized crystal structure of Ce6In5Ag. Source: the Alexandria database, functional PBE-GGA.

Structure (POSCAR):
```
Ce6In5Ag
1.0
4.418 -0.020 1.472
0.039 9.631 0.013
0.000 -0.010 7.364
Ce In Ag
6 5 1
Direct
0.500 0.752 0.000
0.164 0.752 0.673
0.500 0.248 0.000
0.164 0.248 0.673
0.836 0.752 0.327
0.836 0.248 0.327
0.666 0.000 0.669
0.000 0.500 0.000
0.332 0.500 0.336
0.668 0.500 0.664
0.334 0.000 0.331
0.000 0.000 0.000
```

**ΔH_f (0 K)**: -0.3164 eV/atom
**M_tot**: 4.74 μB/f.u.
**Energy**: -4.662 eV/atom
**SG**: Cmmm (65)
**Mass density**: 8.07 g/cm³


An optimized crystal structure of Ce4In5Ag2. Source: the Alexandria database, functional PBE-GGA.

Structure (POSCAR):
```
Ce4In5Ag2
1.0
-0.291 2.373 2.188
-7.118 2.186 -3.318
-4.415 -6.859 6.853
Ce Ag In
4 2 5
Direct
0.500 0.158 0.885
0.500 0.721 0.553
0.500 0.279 0.447
0.500 0.842 0.115
0.000 0.946 0.367
0.000 0.054 0.633
0.000 0.798 0.832
0.000 0.431 0.708
0.000 0.500 0.000
0.000 0.569 0.292
0.000 0.202 0.168
```

**ΔH_f (0 K)**: -0.3025 eV/atom
**M_tot**: 4.36 μB/f.u.
**Energy**: -4.223 eV/atom
**SG**: P2/m (10)
**Mass density**: 7.99 g/cm³


An optimized crystal structure of Ce5In3Ag3. Source: the Alexandria database, functional PBE-GGA.

Structure (POSCAR):
```
Ce5In3Ag3
1.0
-2.900 0.514 -1.129
3.370 -1.810 -9.482
-3.584 -7.690 5.706
Ag Ce In
3 5 3
Direct
0.500 0.000 0.844
0.500 0.844 0.000
0.500 0.156 0.156
0.500 0.333 0.667
0.500 0.667 0.333
0.500 0.000 0.344
0.500 0.344 0.000
0.500 0.656 0.656
0.000 0.000 0.618
0.000 0.382 0.382
0.000 0.618 0.000
```

**ΔH_f (0 K)**: 0.0505 eV/atom
**M_tot**: 5.17 μB/f.u.
**Energy**: -4.171 eV/atom
**SG**: P-62m (189)
**Mass density**: 7.96 g/cm³


An optimized crystal structure of Ce9In2Ag. Source: the Alexandria database, functional PBE-GGA.

Structure (POSCAR):
```
Ce9In2Ag
1.0
4.798 0.000 0.000
0.000 4.798 0.000
0.000 0.000 14.211
Ce Ag In
9 1 2
Direct
0.500 0.500 0.328
0.500 0.000 0.162
0.500 0.500 0.000
0.000 0.500 0.500
0.500 0.000 0.838
0.500 0.000 0.500
0.000 0.500 0.162
0.500 0.500 0.672
0.000 0.500 0.838
0.000 0.000 0.000
0.000 0.000 0.670
0.000 0.000 0.330
```

**ΔH_f (0 K)**: -0.0949 eV/atom
**M_tot**: 8.38 μB/f.u.
**Energy**: -5.239 eV/atom
**SG**: P4/mmm (123)
**Mass density**: 8.11 g/cm³


An optimized crystal structure of Ce8In2Ag. Source: the Alexandria database, functional PBE-GGA.

Structure (POSCAR):
```
Ce8In2Ag
1.0
5.156 0.169 -1.462
-0.491 6.497 -2.223
0.031 0.029 8.810
In Ce Ag
2 8 1
Direct
0.799 0.342 0.598
0.201 0.658 0.402
0.218 0.151 0.376
0.969 0.310 0.004
0.655 0.876 0.308
0.631 0.442 0.214
0.031 0.690 0.996
0.345 0.124 0.692
0.369 0.558 0.786
0.782 0.849 0.624
0.500 0.000 0.000
```

**ΔH_f (0 K)**: -0.1100 eV/atom
**M_tot**: 4.09 μB/f.u.
**Energy**: -5.183 eV/atom
**SG**: P-1 (2)
**Mass density**: 8.17 g/cm³


An optimized crystal structure of CeInAg4. Source: the Alexandria database, functional PBE-GGA.

Structure (POSCAR):
```
CeInAg4
1.0
5.661 0.000 0.000
2.831 4.903 0.000
2.831 1.634 4.622
Ag Ce In
4 1 1
Direct
0.625 0.625 0.124
0.625 0.625 0.625
0.625 0.124 0.625
0.124 0.625 0.625
0.250 0.250 0.250
0.000 0.000 0.000
```

**ΔH_f (0 K)**: -0.1655 eV/atom
**M_tot**: 0.99 μB/f.u.
**Energy**: -3.512 eV/atom
**SG**: F-43m (216)
**Mass density**: 8.88 g/cm³


An optimized crystal structure of Ce6In2Ag. Source: the Alexandria database, functional PBE-GGA.

Structure (POSCAR):
```
Ce6In2Ag
1.0
3.021 0.000 0.000
0.000 7.906 -4.565
0.000 0.000 9.129
Ce Ag In
6 1 2
Direct
0.500 0.000 0.320
0.500 0.680 0.000
0.500 0.000 0.680
0.500 0.320 0.320
0.500 0.320 0.000
0.500 0.680 0.680
0.000 0.000 0.000
0.000 0.333 0.667
0.000 0.667 0.333
```

**ΔH_f (0 K)**: -0.1507 eV/atom
**M_tot**: 2.69 μB/f.u.
**Energy**: -5.032 eV/atom
**SG**: P6/mmm (191)
**Mass density**: 8.97 g/cm³


An optimized crystal structure of Ce4InAg. Source: the Alexandria database, functional PBE-GGA.

Structure (POSCAR):
```
Ce4InAg
1.0
-3.647 -3.269 1.486
1.998 -4.696 3.388
-4.185 2.383 3.785
In Ce Ag
1 4 1
Direct
0.000 0.000 0.000
0.760 0.564 0.917
0.240 0.436 0.083
0.760 0.917 0.564
0.240 0.083 0.436
0.500 0.500 0.500
```

**ΔH_f (0 K)**: -0.1379 eV/atom
**M_tot**: 1.49 μB/f.u.
**Energy**: -5.025 eV/atom
**SG**: Immm (71)
**Mass density**: 9.08 g/cm³


An optimized crystal structure of Ce3In3Ag2. Source: the Alexandria database, functional PBE-GGA.

Structure (POSCAR):
```
Ce3In3Ag2
1.0
4.833 0.000 0.000
0.000 4.861 -0.303
-2.417 -1.920 8.642
Ce In Ag
3 3 2
Direct
0.000 0.000 0.000
0.866 0.367 0.731
0.134 0.633 0.269
0.644 0.144 0.288
0.500 0.500 0.000
0.356 0.856 0.712
0.246 0.245 0.492
0.754 0.755 0.508
```

**ΔH_f (0 K)**: -0.2906 eV/atom
**M_tot**: 3.20 μB/f.u.
**Energy**: -4.256 eV/atom
**SG**: C2/m (12)
**Mass density**: 8.13 g/cm³


An optimized crystal structure of Ce2InAg. Source: the Alexandria database, functional PBE-GGA.

Structure (POSCAR):
```
Ce2InAg
1.0
3.177 0.000 0.000
1.589 2.752 0.000
1.589 0.917 11.136
Ce Ag In
2 1 1
Direct
0.253 0.253 0.242
0.747 0.747 0.758
0.000 0.000 0.000
0.500 0.500 0.500
```

**ΔH_f (0 K)**: -0.0688 eV/atom
**M_tot**: 0.55 μB/f.u.
**Energy**: -4.433 eV/atom
**SG**: R-3m (166)
**Mass density**: 8.58 g/cm³


An optimized crystal structure of Ce2In3Ag. Source: the Alexandria database, functional PBE-GGA.

Structure (POSCAR):
```
Ce2In3Ag
1.0
3.558 0.000 0.000
0.000 5.016 0.000
0.000 0.000 8.690
Ag Ce In
1 2 3
Direct
0.500 0.500 0.331
0.000 0.000 0.498
0.000 0.500 0.004
0.500 0.000 0.835
0.500 0.500 0.659
0.500 0.000 0.174
```

**ΔH_f (0 K)**: -0.3423 eV/atom
**M_tot**: 2.25 μB/f.u.
**Energy**: -4.165 eV/atom
**SG**: Pmm2 (25)
**Mass density**: 7.84 g/cm³
**Relative energy among the computed polymorphs**: 0 meV per atom


An optimized crystal structure of Ce2InAg. Source: the Alexandria database, functional PBE-GGA.

Structure (POSCAR):
```
Ce2InAg
1.0
4.887 0.000 0.000
0.000 4.472 0.000
0.000 0.000 4.472
Ce Ag In
2 1 1
Direct
0.000 0.500 0.000
0.000 0.000 0.500
0.500 0.000 0.000
0.500 0.500 0.500
```

**ΔH_f (0 K)**: -0.2232 eV/atom
**M_tot**: 1.03 μB/f.u.
**Energy**: -4.588 eV/atom
**SG**: P4/mmm (123)
**Mass density**: 8.54 g/cm³


An optimized crystal structure of Ce2In5Ag3. Source: the Alexandria database, functional PBE-GGA.

Structure (POSCAR):
```
Ce2In5Ag3
1.0
-1.689 -2.500 -5.757
-5.083 -7.783 1.202
-8.546 2.968 -2.450
Ce In Ag
4 10 6
Direct
0.632 0.130 0.606
0.368 0.870 0.394
0.132 0.606 0.130
0.868 0.394 0.870
0.107 0.046 0.741
0.250 0.500 0.500
0.607 0.741 0.046
0.893 0.954 0.259
0.014 0.236 0.236
0.486 0.764 0.764
0.514 0.236 0.236
0.750 0.500 0.500
0.986 0.764 0.764
0.393 0.259 0.954
0.133 0.241 0.494
0.750 0.000 0.000
0.867 0.759 0.506
0.633 0.494 0.241
0.250 0.000 0.000
0.367 0.506 0.759
```

**ΔH_f (0 K)**: -0.2179 eV/atom
**M_tot**: 2.05 μB/f.u.
**Energy**: -3.629 eV/atom
**SG**: Ibam (72)
**Mass density**: 7.82 g/cm³


An optimized crystal structure of CeInAgIr. Source: the Alexandria database, functional PBE-GGA.

Structure (POSCAR):
```
CeInAgIr
1.0
-0.034 -4.505 1.942
1.723 -0.729 4.535
-3.091 -1.072 3.656
Ce Ag Ir In
1 1 1 1
Direct
0.500 0.500 0.500
0.250 0.250 0.250
0.750 0.750 0.750
0.000 0.000 0.000
```

**ΔH_f (0 K)**: -0.3074 eV/atom
**M_tot**: 0.04 μB/f.u.
**Energy**: -5.404 eV/atom
**SG**: F-43m (216)
**Mass density**: 11.04 g/cm³


An optimized crystal structure of LaCeInAg. Source: the Alexandria database, functional PBE-GGA.

Structure (POSCAR):
```
LaCeInAg
1.0
3.686 0.000 0.000
0.000 3.686 0.000
0.000 0.000 8.320
Ag In La Ce
1 1 1 1
Direct
0.500 0.500 0.600
0.500 0.500 0.113
0.000 0.000 0.847
0.000 0.000 0.368
```

**ΔH_f (0 K)**: -0.2798 eV/atom
**M_tot**: 1.31 μB/f.u.
**Energy**: -4.393 eV/atom
**SG**: P4mm (99)
**Mass density**: 7.37 g/cm³
**Relative energy among the computed polymorphs**: 0 meV per atom


An optimized crystal structure of LaCe2In2Ag2. Source: the Alexandria database, functional PBE-GGA.

Structure (POSCAR):
```
LaCe2In2Ag2
1.0
-4.016 -1.917 -1.747
0.202 -2.989 -3.726
-0.376 -8.776 3.953
Ce La In Ag
2 1 2 2
Direct
0.143 0.143 0.571
0.857 0.857 0.429
0.000 0.000 0.000
0.263 0.263 0.211
0.737 0.737 0.789
0.576 0.576 0.272
0.424 0.424 0.728
```

**ΔH_f (0 K)**: -0.2769 eV/atom
**M_tot**: 1.28 μB/f.u.
**Energy**: -4.273 eV/atom
**SG**: R-3m (166)
**Mass density**: 7.86 g/cm³


An optimized crystal structure of LaCeInAg. Source: the Alexandria database, functional PBE-GGA.

Structure (POSCAR):
```
LaCeInAg
1.0
-1.049 1.802 5.049
-4.911 -0.846 2.236
-0.554 -3.556 4.109
Ce La Ag In
1 1 1 1
Direct
0.750 0.750 0.750
0.250 0.250 0.250
0.000 0.000 0.000
0.500 0.500 0.500
```

**ΔH_f (0 K)**: -0.2606 eV/atom
**M_tot**: 1.48 μB/f.u.
**Energy**: -4.373 eV/atom
**SG**: F-43m (216)
**Mass density**: 7.23 g/cm³
**Relative energy among the computed polymorphs**: 19 meV per atom


An optimized crystal structure of Li2CeIn4Ag. Source: the Alexandria database, functional PBE-GGA.

Structure (POSCAR):
```
Li2CeIn4Ag
1.0
4.759 0.000 0.000
2.380 4.122 0.000
2.380 1.374 9.295
Li In Ag Ce
2 4 1 1
Direct
0.763 0.763 0.712
0.237 0.237 0.288
0.123 0.123 0.632
0.605 0.605 0.184
0.395 0.395 0.816
0.877 0.877 0.368
0.500 0.500 0.500
0.000 0.000 0.000
```

**ΔH_f (0 K)**: -0.2391 eV/atom
**M_tot**: 0.90 μB/f.u.
**Energy**: -3.185 eV/atom
**SG**: R-3m (166)
**Mass density**: 6.57 g/cm³


An optimized crystal structure of LiCeIn4Ag2. Source: the Alexandria database, functional PBE-GGA.

Structure (POSCAR):
```
LiCeIn4Ag2
1.0
-2.100 3.185 -2.947
1.491 0.407 -4.566
-6.151 -5.037 -5.002
In Ag Li Ce
4 2 1 1
Direct
0.128 0.128 0.617
0.609 0.609 0.172
0.872 0.872 0.383
0.391 0.391 0.828
0.759 0.759 0.724
0.241 0.241 0.276
0.500 0.500 0.500
0.000 0.000 0.000
```

**ΔH_f (0 K)**: -0.2066 eV/atom
**M_tot**: 0.82 μB/f.u.
**Energy**: -3.270 eV/atom
**SG**: R-3m (166)
**Mass density**: 7.56 g/cm³


An optimized crystal structure of Li2CeIn2Ag2. Source: the Alexandria database, functional PBE-GGA.

Structure (POSCAR):
```
Li2CeIn2Ag2
1.0
4.859 0.000 0.000
-2.429 4.196 -0.401
0.000 -2.097 7.535
In Ce Li Ag
2 1 2 2
Direct
0.574 0.148 0.722
0.426 0.852 0.278
0.000 0.000 0.000
0.149 0.298 0.446
0.851 0.702 0.554
0.266 0.533 0.799
0.734 0.467 0.201
```

**ΔH_f (0 K)**: -0.2725 eV/atom
**M_tot**: 0.93 μB/f.u.
**Energy**: -3.264 eV/atom
**SG**: C2/m (12)
**Mass density**: 6.66 g/cm³